<a>
Entry from the Alexandria database: a relaxed structure of La4CdN (PBE-GGA).

The space group is No. 15. The calculation puts the density of states at the Fermi level at 1.05 states/eV per atom. The calculation puts the density at 6.24 g/cm3. The total magnetic moment comes out at 0.00 Bohr magnetons per cell.

Unit cell a=8.5800 b=8.5800 c=6.3186 alpha=103.52 beta=103.52 gamma=118.57
With the nearest neighbours (Å) after each atom.
Element x y z (fractional)
La 0.0665 0.6685 0.8671  1 N 2.48
La 0.1574 0.2532 0.6756  2 N 2.49-2.72
La 0.2532 0.1574 0.1756  2 N 2.49-2.72
La 0.3315 0.9335 0.6329  1 N 2.48
La 0.6685 0.0665 0.3671  1 N 2.48
La 0.7468 0.8426 0.8244  2 N 2.49-2.72
La 0.8426 0.7468 0.3244  2 N 2.49-2.72
La 0.9335 0.3315 0.1329  1 N 2.48
Cd 0.3872 0.6128 0.2500  8 La 3.22-3.51
Cd 0.6128 0.3872 0.7500  8 La 3.22-3.51
N 0.0728 0.9272 0.7500  6 La 2.48-2.72
N 0.9272 0.0728 0.2500  6 La 2.48-2.72

***

<b>
Entry from the Alexandria database: a relaxed structure of La4CdN (PBE-GGA).

The space group is No. 15. The calculation puts the density of states at the Fermi level at 1.02 states/eV per atom. The calculation puts the density at 6.70 g/cm3. The total magnetic moment comes out at 0.00 Bohr magnetons per cell.

Unit cell a=8.2564 b=8.2564 c=7.1936 alpha=104.42 beta=104.42 gamma=45.76
With the nearest neighbours (Å) after each atom.
Element x y z (fractional)
La 0.0040 0.1927 0.4668  1 N 2.47
La 0.1927 0.0040 0.9668  1 N 2.47
La 0.2271 0.3798 0.8404  2 N 2.61-2.62
La 0.3798 0.2271 0.3404  2 N 2.61-2.62
La 0.6202 0.7729 0.6596  2 N 2.61-2.62
La 0.7729 0.6202 0.1596  2 N 2.61-2.62
La 0.8073 0.9960 0.0332  1 N 2.47
La 0.9960 0.8073 0.5332  1 N 2.47
Cd 0.4081 0.5919 0.2500  10 La 3.40-3.72, 2 Cd 3.79
Cd 0.5919 0.4081 0.7500  10 La 3.40-3.72, 2 Cd 3.79
N 0.0000 0.5000 0.5000  6 La 2.47-2.62
N 0.5000 0.0000 0.0000  6 La 2.47-2.62

***

In terms of stability, <b> leads; the second structure lies 4.2 kJ/mol of atoms higher.

***

<a>
Entry from the Alexandria database: a relaxed structure of LaNbCd2N (PBE-GGA).

The space group is No. 123. The calculation puts the density of states at the Fermi level at 0.77 states/eV per atom. The calculation puts the density at 7.08 g/cm3. The total magnetic moment comes out at 3.08 Bohr magnetons per cell.

Unit cell a=4.7682 b=4.7682 c=4.8544 alpha=90.00 beta=90.00 gamma=90.00
With the nearest neighbours (Å) after each atom.
Element x y z (fractional)
La 0.0000 0.0000 0.0000  2 N 2.43
Nb 0.5000 0.5000 0.0000  4 La 3.37, 8 Cd 3.40
Cd 0.0000 0.5000 0.5000  2 N 2.38
Cd 0.5000 0.0000 0.5000  2 N 2.38
N 0.0000 0.0000 0.5000  4 Cd 2.38, 2 La 2.43

***

<b>
Entry from the Alexandria database: a relaxed structure of LaNbCd2N (PBE-GGA).

The space group is No. 123. The calculation puts the density of states at the Fermi level at 0.93 states/eV per atom. The calculation puts the density at 4.90 g/cm3. The total magnetic moment comes out at 1.59 Bohr magnetons per cell.

Unit cell a=5.4941 b=5.4941 c=5.2857 alpha=90.00 beta=90.00 gamma=90.00
With the nearest neighbours (Å) after each atom.
Element x y z (fractional)
La 0.0000 0.0000 0.0000  2 Nb 2.64
Nb 0.0000 0.0000 0.5000  2 La 2.64, 4 Cd 2.75
Cd 0.0000 0.5000 0.5000  2 Nb 2.75
Cd 0.5000 0.0000 0.5000  2 Nb 2.75
N 0.5000 0.5000 0.0000  8 Cd 3.81, 4 La 3.88

***

In terms of stability, <a> leads; the second structure lies 100.2 kJ/mol of atoms higher.

***

<a>
Entry from the Alexandria database: a relaxed structure of La2CdPbN (PBE-GGA).

The space group is No. 123. The calculation puts the density of states at the Fermi level at 1.84 states/eV per atom. The calculation puts the density at 6.04 g/cm3. The total magnetic moment comes out at 0.00 Bohr magnetons per cell.

Unit cell a=6.1884 b=6.1884 c=4.3913 alpha=90.00 beta=90.00 gamma=90.00
With the nearest neighbours (Å) after each atom.
Element x y z (fractional)
La 0.0000 0.5000 0.0000  2 Pb 3.09
La 0.5000 0.0000 0.0000  2 Pb 3.09
Cd 0.0000 0.0000 0.5000  8 La 3.79
Pb 0.5000 0.5000 0.0000  2 N 2.20
N 0.5000 0.5000 0.5000  2 Pb 2.20

***

<b>
Entry from the Alexandria database: a relaxed structure of La2CdPbN (PBE-GGA).

The space group is No. 123. The calculation puts the density of states at the Fermi level at 0.45 states/eV per atom. The calculation puts the density at 8.05 g/cm3. The total magnetic moment comes out at 0.00 Bohr magnetons per cell.

Unit cell a=5.0762 b=5.0762 c=4.8946 alpha=90.00 beta=90.00 gamma=90.00
With the nearest neighbours (Å) after each atom.
Element x y z (fractional)
La 0.0000 0.5000 0.0000  2 N 2.54
La 0.5000 0.0000 0.0000  2 N 2.54
Cd 0.0000 0.0000 0.5000  2 N 2.45
Pb 0.5000 0.5000 0.5000  8 La 3.53, 4 Cd 3.59
N 0.0000 0.0000 0.0000  2 Cd 2.45, 4 La 2.54

***

In terms of stability, <b> leads; the second structure lies 135.1 kJ/mol of atoms higher.

***

<a>
Entry from the Alexandria database: a relaxed structure of La2TaCdN (PBE-GGA).

The space group is No. 123. The calculation puts the density of states at the Fermi level at 1.26 states/eV per atom. The calculation puts the density at 8.39 g/cm3. The total magnetic moment comes out at 0.02 Bohr magnetons per cell.

Unit cell a=4.9973 b=4.9973 c=4.6367 alpha=90.00 beta=90.00 gamma=90.00
With the nearest neighbours (Å) after each atom.
Element x y z (fractional)
La 0.0000 0.5000 0.0000  2 N 2.50
La 0.5000 0.0000 0.0000  2 N 2.50
Ta 0.0000 0.0000 0.5000  8 La 3.41, 4 Cd 3.53
Cd 0.5000 0.5000 0.5000  2 N 2.32
N 0.5000 0.5000 0.0000  2 Cd 2.32, 4 La 2.50

***

<b>
Entry from the Alexandria database: a relaxed structure of La2TaCdN (PBE-GGA).

The space group is No. 123. The calculation puts the density of states at the Fermi level at 1.11 states/eV per atom. The calculation puts the density at 8.22 g/cm3. The total magnetic moment comes out at 0.00 Bohr magnetons per cell.

Unit cell a=5.3658 b=5.3658 c=4.1073 alpha=90.00 beta=90.00 gamma=90.00
With the nearest neighbours (Å) after each atom.
Element x y z (fractional)
La 0.0000 0.5000 0.0000  2 N 2.68
La 0.5000 0.0000 0.0000  2 N 2.68
Ta 0.0000 0.0000 0.5000  2 N 2.05
Cd 0.5000 0.5000 0.5000  8 La 3.38
N 0.0000 0.0000 0.0000  2 Ta 2.05

***

In terms of stability, <b> leads; the second structure lies 69.2 kJ/mol of atoms higher.